A plane-wave DFT calculation with PBE was carried out for a relaxed structure of CeSm2PaSe4.

Cell: 7.1605 4.1187 7.2694 Å, 90.00 109.01 90.00°
Last column: nearest neighbours and their distance in Å.
Space group P2/m (No. 10)
One atom of each set of equivalent atoms:
1 Ce 0.0000 0.0000 0.0000 x1  6 Se 2.95
2 Sm 0.0000 0.5000 0.5000 x1  6 Se 2.95-2.96
3 Sm 0.5000 0.0000 0.5000 x1  6 Se 2.92
4 Pa 0.5000 0.5000 0.0000 x1  6 Se 2.92
5 Se 0.2539 0.0000 0.7515 x2  2 Pa 2.92, 3 Sm 2.92-2.95, 1 Ce 2.95
6 Se 0.2538 0.5000 0.2506 x2  1 Pa 2.92, 3 Sm 2.92-2.96, 2 Ce 2.95

Values from the calculation:
As for the density: 8.09 g/cm3. For the total moment, the calculation gives 0.236 μB per atom. The calculation puts the raw formation energy at -159.0 kJ per mole of atoms.


A plane-wave DFT calculation with PBE was carried out for a relaxed structure of Rb4Er3TiSe8.

Cell: 8.2752 8.2752 23.8876 Å, 90.00 90.00 120.00°
Last column: nearest neighbours and their distance in Å.
Space group R-3m (No. 166, hexagonal axes)
One atom of each set of equivalent atoms:
1 Rb 0.0000 0.0000 0.0000 x3  6 Se 3.52
2 Rb 0.0000 0.5000 0.0000 x9  6 Se 3.40
3 Er 0.0000 0.5000 0.5000 x9  6 Se 2.85-2.87
4 Ti 0.0000 0.0000 0.5000 x3  6 Se 2.73
5 Se 0.0000 0.0000 0.2321 x6  3 Er 2.85
6 Se 0.0155 0.5078 0.2296 x18  1 Ti 2.73, 2 Er 2.87

Values from the calculation:
As for the density: 5.36 g/cm3. For the total moment, the calculation gives 0.063 μB per atom. The calculation puts the raw formation energy at -150.5 kJ per mole of atoms.


> Which formula does entry 1 have?

CeSm2PaSe4


> The lowest raw formation energy belongs to which entry?

CeSm2PaSe4


> Look up the total moment of the first one.

0.236 μB per atom